[1]
## CsAlInAu (PBE)

Data for an optimized crystal structure of CsAlInAu.

Properties
**Calculated density**: 6.7 g cm⁻³
**DFT total energy**: -2.304 eV/atom

Cell: 7.758 7.758 7.758 Å, 90.00 90.00 90.00°
Space group F-43m (No. 216)
Asymmetric unit:
Cs1 0.000 0.000 0.000 [4 per cell]
Al1 0.000 0.000 0.500 [4 per cell]
In1 0.250 0.250 0.250 [4 per cell]
Au1 0.250 0.250 0.750 [4 per cell]


[2]
## PmDyI2N2 (PBE)

Data for an optimized crystal structure of PmDyI2N2.

Properties
**Calculated density**: 6.6 g cm⁻³
**DFT total energy**: -5.851 eV/atom

Cell: 3.922 3.922 9.587 Å, 90.00 90.00 90.00°
Space group P4mm (No. 99)
Asymmetric unit:
Pm1 0.000 0.000 0.000 [1 per cell]
Dy1 0.500 0.500 0.265 [1 per cell]
I1 0.000 0.000 0.466 [1 per cell]
I2 0.500 0.500 0.799 [1 per cell]
N1 0.000 0.500 0.140 [2 per cell]


[3]
## SmErSc2P2 (PBE)

Data for an optimized crystal structure of SmErSc2P2.

Properties
**Calculated density**: 6.1 g cm⁻³
**DFT total energy**: -6.493 eV/atom

Cell: 4.090 4.090 15.189 Å, 90.00 90.00 90.00°
Space group I4mm (No. 107)
Asymmetric unit:
Sm1 0.000 0.000 0.000 [2 per cell]
Er1 0.000 0.000 0.356 [2 per cell]
Sc1 0.000 0.500 0.180 [4 per cell]
P1 0.000 0.000 0.552 [2 per cell]
P2 0.000 0.000 0.805 [2 per cell]


[4]
## YHfTl2 (PBE)

Data for an optimized crystal structure of YHfTl2.

Properties
**Calculated density**: 10.5 g cm⁻³
**DFT total energy**: -4.872 eV/atom

Cell: 7.525 7.525 7.525 Å, 90.00 90.00 90.00°
Space group F-43m (No. 216)
Asymmetric unit:
Y1 0.000 0.000 0.000 [4 per cell]
Hf1 0.250 0.250 0.250 [4 per cell]
Tl1 0.000 0.000 0.500 [4 per cell]
Tl2 0.250 0.250 0.750 [4 per cell]


[5]
## RbNaNiTe (PBE)

Data for an optimized crystal structure of RbNaNiTe.

Properties
**Calculated density**: 4.8 g cm⁻³
**DFT total energy**: -2.592 eV/atom

Cell: 7.416 7.416 7.416 Å, 90.00 90.00 90.00°
Space group F-43m (No. 216)
Asymmetric unit:
Rb1 0.000 0.000 0.000 [4 per cell]
Na1 0.250 0.250 0.750 [4 per cell]
Ni1 0.000 0.000 0.500 [4 per cell]
Te1 0.250 0.250 0.250 [4 per cell]


[6]
## GdHoAl4Pt2 (PBE)

Data for an optimized crystal structure of GdHoAl4Pt2.

Properties
**Calculated density**: 8.9 g cm⁻³
**DFT total energy**: -5.531 eV/atom

Cell: 6.937 4.273 10.331 Å, 90.00 90.00 90.00°
Space group Amm2 (No. 38)
Asymmetric unit:
Gd1 0.000 0.000 0.000 [2 per cell]
Ho1 0.500 0.000 0.141 [2 per cell]
Al1 0.197 0.000 0.715 [4 per cell]
Al2 0.304 0.000 0.425 [4 per cell]
Pt1 0.000 0.000 0.282 [2 per cell]
Pt2 0.500 0.000 0.859 [2 per cell]


[7]
## ZrGa2W (PBE)

Data for an optimized crystal structure of ZrGa2W.

Properties
**Calculated density**: 9.9 g cm⁻³
**DFT total energy**: -6.631 eV/atom

Cell: 6.523 6.523 6.523 Å, 90.00 90.00 90.00°
Space group F-43m (No. 216)
Asymmetric unit:
Zr1 0.000 0.000 0.000 [4 per cell]
Ga1 0.000 0.000 0.500 [4 per cell]
Ga2 0.250 0.250 0.250 [4 per cell]
W1 0.250 0.250 0.750 [4 per cell]


[8]
## Gd2ErCd3InGa2 (PBE)

Data for an optimized crystal structure of Gd2ErCd3InGa2.

Properties
**Calculated density**: 8.5 g cm⁻³
**DFT total energy**: -3.310 eV/atom

Cell: 4.529 12.664 7.351 Å, 90.00 90.00 90.00°
Space group Amm2 (No. 38)
Asymmetric unit:
Gd1 0.000 0.218 0.000 [4 per cell]
Er1 0.000 0.000 0.343 [2 per cell]
Cd1 0.500 0.000 0.036 [2 per cell]
Cd2 0.500 0.128 0.654 [4 per cell]
In1 0.000 0.000 0.778 [2 per cell]
Ga1 0.500 0.165 0.281 [4 per cell]